(1)
# GaRuRh2

A relaxed GaRuRh2 crystal (PBE-GGA, Alexandria).

Structure (POSCAR):
```
GaRuRh2
1.0
2.7678 0.0000 0.0000
0.0000 2.7678 0.0000
0.0000 0.0000 7.3607
Rh Ru Ga
2 1 1
direct
0.0000 0.0000 0.2476
0.0000 0.0000 0.7524
0.5000 0.5000 0.5000
0.5000 0.5000 0.0000
```

Properties
Calculated total energy = -6.98 eV per atom
Density = 11.09 g/cm3

=====

(2)
# La7Tb16Y6

A relaxed La7Tb16Y6 crystal (PBE-GGA, Alexandria).

Structure (POSCAR):
```
La7Tb16Y6
1.0
-3.0763 1.9484 10.7187
6.8125 -3.0933 8.4954
5.3854 7.8765 6.0918
Y Tb La
6 16 7
direct
0.7375 0.2625 0.7375
0.2625 0.2625 0.7375
0.7375 0.2625 0.2625
0.2625 0.7375 0.7375
0.2625 0.7375 0.2625
0.7375 0.7375 0.2625
0.1280 0.1280 0.1280
0.8720 0.8720 0.8720
0.8720 0.8720 0.3839
0.9603 0.3466 0.3466
0.3839 0.8720 0.8720
0.1280 0.1280 0.6161
0.6161 0.1280 0.1280
0.8720 0.3839 0.8720
0.3466 0.3466 0.9603
0.0397 0.6534 0.6534
0.1280 0.6161 0.1280
0.6534 0.6534 0.6534
0.6534 0.0397 0.6534
0.6534 0.6534 0.0397
0.3466 0.9603 0.3466
0.3466 0.3466 0.3466
0.5000 0.0000 0.5000
0.5000 0.0000 0.0000
0.0000 0.5000 0.0000
0.0000 0.0000 0.5000
0.0000 0.5000 0.5000
0.0000 0.0000 0.0000
0.5000 0.5000 0.0000
```

Properties
Calculated total energy = -4.82 eV per atom
Density = 6.55 g/cm3

=====

(3)
# InOsS2

A relaxed InOsS2 crystal (PBE-GGA, Alexandria).

Structure (POSCAR):
```
InOsS2
1.0
-0.8080 2.0180 -6.7515
-6.1131 -3.5811 -0.3388
-5.2337 2.1426 -2.4590
S Os In
4 2 2
direct
0.8750 0.9777 0.7500
0.0223 0.6250 0.2500
0.7277 0.1250 0.2500
0.3750 0.2723 0.7500
0.0000 0.0000 0.0000
0.7500 0.2500 0.5000
0.5000 0.5000 0.0000
0.2500 0.7500 0.5000
```

Properties
Density = 6.79 g/cm3
Formation energy (no corrections) = 0.00 eV per atom

=====

(4)
# Ac2SnPt

A relaxed Ac2SnPt crystal (PBE-GGA, Alexandria).

Structure (POSCAR):
```
Ac2SnPt
1.0
4.7998 0.0000 -0.0040
-0.0002 5.1807 -0.0004
-2.3957 -2.5890 5.5155
Ac Sn Pt
2 1 1
direct
0.1715 0.1806 0.3432
0.8284 0.8377 0.6569
0.5000 0.5089 0.0000
0.5000 0.0088 0.0000
```

Properties
Calculated total energy = -5.12 eV per atom
Density = 9.30 g/cm3

=====

(5)
# CsTi2IN

A relaxed CsTi2IN crystal (PBE-GGA, Alexandria).

Structure (POSCAR):
```
CsTi2IN
1.0
-3.0338 2.6879 1.8235
-5.5114 -1.8197 -6.4872
-1.6219 -3.4155 2.3361
N I Cs Ti
1 1 1 2
direct
0.0000 0.0000 0.0000
0.0000 0.5000 0.0000
0.5000 0.5000 0.5000
0.0000 0.0000 0.5000
0.5000 0.0000 0.0000
```

Properties
Density = 3.57 g/cm3
Formation energy (no corrections) = 0.16 eV per atom

=====

(6)
# SrRe2Ru

A relaxed SrRe2Ru crystal (PBE-GGA, Alexandria).

Structure (POSCAR):
```
SrRe2Ru
1.0
-4.8678 -2.6667 -0.2029
-0.8858 -4.5730 3.0251
1.9465 5.1614 0.6470
Re Sr Ru
2 1 1
direct
0.5000 0.5000 0.0000
0.0000 0.0000 0.0000
0.7500 0.2500 0.5000
0.2500 0.7500 0.5000
```

Properties
Energy above the lowest structure with this stoichiometry = 0.623 eV/atom
Density = 12.89 g/cm3

=====

(7)
# Ac6CuRh2

A relaxed Ac6CuRh2 crystal (PBE-GGA, Alexandria).

Structure (POSCAR):
```
Ac6CuRh2
1.0
4.2669 0.0000 -0.9777
-0.3783 8.3341 -1.6513
-0.0627 0.4075 9.5266
Ac Rh Cu
6 2 1
direct
0.0070 0.2559 0.0139
0.6668 0.0976 0.3336
0.3332 0.9024 0.6664
0.3304 0.4242 0.6607
0.9930 0.7441 0.9861
0.6696 0.5758 0.3393
0.1658 0.3330 0.3316
0.8342 0.6670 0.6684
0.5000 0.0000 0.0000
```

Properties
Calculated total energy = -5.18 eV per atom
Density = 7.94 g/cm3

=====

(8)
# In2SiSnN

A relaxed In2SiSnN crystal (PBE-GGA, Alexandria).

Structure (POSCAR):
```
In2SiSnN
1.0
5.7143 0.0000 0.0000
0.0000 3.4724 0.0000
0.0000 0.0000 5.7143
Si N In Sn
1 1 2 1
direct
0.0000 0.5000 0.0000
0.0000 0.0000 0.0000
0.5000 0.0000 0.0000
0.0000 0.0000 0.5000
0.5000 0.5000 0.5000
```

Properties
Density = 5.72 g/cm3
Formation energy (no corrections) = 0.33 eV per atom

=====

(9)
# BaTaNi

A relaxed BaTaNi crystal (PBE-GGA, Alexandria).

Structure (POSCAR):
```
BaTaNi
1.0
4.6858 0.0000 0.0000
2.3429 4.0581 0.0000
2.3429 1.3527 3.8260
Ba Ni Ta
1 1 1
direct
0.2500 0.2500 0.2500
0.0000 0.0000 0.0000
0.5000 0.5000 0.5000
```

Properties
Energy above the lowest structure with this stoichiometry = 1.633 eV/atom
Density = 8.60 g/cm3

=====

(10)
# CsVW2

A relaxed CsVW2 crystal (PBE-GGA, Alexandria).

Structure (POSCAR):
```
CsVW2
1.0
0.0000 3.3271 3.3271
3.3271 0.0000 3.3271
3.3271 3.3271 0.0000
Cs W V
1 2 1
direct
0.5000 0.5000 0.5000
0.7500 0.7500 0.7500
0.2500 0.2500 0.2500
0.0000 0.0000 0.0000
```

Properties
Calculated total energy = -6.85 eV per atom
Density = 12.43 g/cm3

=====

(11)
# Nd2SmYEr

A relaxed Nd2SmYEr crystal (PBE-GGA, Alexandria).

Structure (POSCAR):
```
Nd2SmYEr
1.0
-1.1223 -4.2261 -5.8157
7.8114 -3.0726 0.7253
-5.9013 -2.7167 3.1130
Sm Nd Er Y
2 4 2 2
direct
0.7500 0.2835 0.5670
0.2500 0.7165 0.4330
0.0000 0.6942 0.0000
0.0000 0.3058 0.0000
0.5000 0.6942 0.0000
0.5000 0.3058 0.0000
0.2500 0.9792 0.9585
0.7500 0.0208 0.0415
0.2500 0.2573 0.5146
0.7500 0.7427 0.4854
```

Properties
Calculated total energy = -4.67 eV per atom
Density = 6.44 g/cm3

=====

(12)
# MgScP3

A relaxed MgScP3 crystal (PBE-GGA, Alexandria).

Structure (POSCAR):
```
MgScP3
1.0
-4.3957 -1.5419 0.7177
1.6593 -3.4514 2.7476
-0.3733 2.8151 3.7617
P Mg Sc
3 1 1
direct
0.5000 0.0000 0.0000
0.0000 0.0000 0.5000
0.0000 0.5000 0.0000
0.0000 0.0000 0.0000
0.5000 0.5000 0.5000
```

Properties
Energy above the lowest structure with this stoichiometry = 0.191 eV/atom
Density = 2.57 g/cm3

=====

(13)
# TlCu2Pd2

A relaxed TlCu2Pd2 crystal (PBE-GGA, Alexandria).

Structure (POSCAR):
```
TlCu2Pd2
1.0
-1.7419 -0.7903 2.9723
-1.4398 -2.8090 -1.5906
3.5972 -5.6071 2.7189
Tl Cu Pd
1 2 2
direct
0.0000 0.0000 0.0000
0.7500 0.2500 0.5000
0.2500 0.7500 0.5000
0.3932 0.3932 0.2137
0.6068 0.6068 0.7863
```

Properties
Energy above the lowest structure with this stoichiometry = 0.061 eV/atom
Density = 10.72 g/cm3

=====

(14)
# AcNdCu2

A relaxed AcNdCu2 crystal (PBE-GGA, Alexandria).

Structure (POSCAR):
```
AcNdCu2
1.0
5.2348 0.0000 0.0000
2.6174 4.5334 0.0000
2.6174 1.5111 4.2742
Ac Cu Nd
1 2 1
direct
0.0000 0.0000 0.0000
0.2500 0.2500 0.2500
0.7500 0.7500 0.7500
0.5000 0.5000 0.5000
```

Properties
Energy above the lowest structure with this stoichiometry = 0.057 eV/atom
Density = 8.16 g/cm3

=====

(15)
# SbAu2I

A relaxed SbAu2I crystal (PBE-GGA, Alexandria).

Structure (POSCAR):
```
SbAu2I
1.0
0.0000 3.6344 3.6344
3.6344 0.0000 3.6344
3.6344 3.6344 0.0000
I Sb Au
1 1 2
direct
0.5000 0.5000 0.5000
0.0000 0.0000 0.0000
0.7500 0.7500 0.7500
0.2500 0.2500 0.2500
```

Properties
Energy above the lowest structure with this stoichiometry = 0.423 eV/atom
Density = 11.11 g/cm3
Formation energy (no corrections) = 0.52 eV per atom

=====

(16)
# Pu3Tl2Sb

A relaxed Pu3Tl2Sb crystal (PBE-GGA, Alexandria).

Structure (POSCAR):
```
Pu3Tl2Sb
1.0
-2.2797 -4.8939 -0.6321
4.8068 0.4572 2.4966
-3.0677 0.6823 5.7814
Pu Tl Sb
3 2 1
direct
0.0000 0.0000 0.5000
0.3333 0.6667 0.1049
0.6667 0.3333 0.8951
0.6667 0.3333 0.3813
0.3333 0.6667 0.6187
0.0000 0.0000 0.0000
```

Properties
Density = 12.45 g/cm3
Formation energy (no corrections) = -0.16 eV per atom

=====

(17)
# Ba2CaPdN

A relaxed Ba2CaPdN crystal (PBE-GGA, Alexandria).

Structure (POSCAR):
```
Ba2CaPdN
1.0
-2.4248 -3.6681 -3.4660
5.0339 -1.4854 -1.9497
0.3042 -3.3677 3.3513
N Ba Ca Pd
1 2 1 1
direct
0.0000 0.0000 0.0000
0.0000 0.5000 0.0000
0.5000 0.0000 0.0000
0.0000 0.0000 0.5000
0.5000 0.5000 0.5000
```

Properties
Density = 4.84 g/cm3
Formation energy (no corrections) = -0.40 eV per atom

=====

(18)
# Ho8Er4Mg

A relaxed Ho8Er4Mg crystal (PBE-GGA, Alexandria).

Structure (POSCAR):
```
Ho8Er4Mg
1.0
-2.3501 -5.1955 4.1519
5.6444 -1.0414 -4.1000
5.3387 6.8553 5.6085
Er Ho Mg
4 8 1
direct
0.0000 0.5000 0.0000
0.5000 0.0000 0.0000
0.5000 0.5000 0.0000
0.0000 0.0000 0.0000
0.0338 0.7798 0.2878
0.0338 0.2540 0.2878
0.9662 0.2202 0.7122
0.4245 0.2122 0.6367
0.5081 0.2540 0.2878
0.5755 0.7877 0.3633
0.4919 0.7460 0.7122
0.9662 0.7460 0.7122
0.0000 0.5000 0.5000
```

Properties
Calculated total energy = -4.14 eV per atom
Density = 8.16 g/cm3

=====

(19)
# HfTi3Te4

A relaxed HfTi3Te4 crystal (PBE-GGA, Alexandria).

Structure (POSCAR):
```
HfTi3Te4
1.0
-6.9516 1.1016 0.0172
-1.2069 -7.5688 -3.0012
-0.4049 -2.6626 6.8778
Ti Te Hf
6 8 2
direct
0.5410 0.3136 0.7536
0.0410 0.6864 0.2536
0.5410 0.3136 0.2464
0.8535 0.4514 0.5000
0.0410 0.6864 0.7464
0.3535 0.5486 0.0000
0.1491 0.3456 0.2491
0.6491 0.6544 0.7491
0.2116 0.8823 0.5000
0.2199 0.8662 0.0000
0.7116 0.1177 0.0000
0.1491 0.3456 0.7509
0.7199 0.1338 0.5000
0.6491 0.6544 0.2509
0.8501 0.4464 0.0000
0.3501 0.5536 0.5000
```

Properties
Density = 6.46 g/cm3
Formation energy (no corrections) = -0.53 eV per atom

=====

(20)
# AcEr2Pb

A relaxed AcEr2Pb crystal (PBE-GGA, Alexandria).

Structure (POSCAR):
```
AcEr2Pb
1.0
-2.0864 -0.3742 2.9573
-0.9998 -3.3166 1.1132
8.9727 -1.9055 8.3276
Er Pb Ac
2 1 1
direct
0.9143 0.9143 0.2570
0.0857 0.0857 0.7430
0.0000 0.0000 0.0000
0.5000 0.5000 0.5000
```

Properties
Energy above the lowest structure with this stoichiometry = 0.416 eV/atom
Density = 9.12 g/cm3